Record 1
Below is a PBEsol-optimized structure of MnIn2Ag, with properties calculated at the SCAN level.

Size of the total moment ... 3.5 μB per cell
Fermi-level density of states ... 1.59 states/eV/f.u.
Energy of formation ... 4 meV/atom
Symmetry ... Imm2 (44)

Unit cell a=3.0423 b=4.5490 c=6.1422 alpha=111.73 beta=104.34 gamma=90.00
Element x y z (fractional)
In  0.0071  0.0071  0.0141
Ag  0.2064  0.7064  0.4128
Mn  0.4994  0.4994  0.9988
In  0.7871  0.2871  0.5743


Record 2
Below is a PBEsol-optimized structure of FeCu3, with properties calculated at the SCAN level.

Size of the total moment ... 2.8 μB per cell
Fermi-level density of states ... 2.06 states/eV/f.u.
Energy of formation ... 73 meV/atom
Symmetry ... P-6m2 (187)

Unit cell a=2.4965 b=2.4965 c=8.3235 alpha=90.00 beta=90.00 gamma=120.00
Element x y z (fractional)
Cu  0.3333  0.6667  0.2495
Cu  0.0000  0.0000  0.0000
Fe  0.0000  0.0000  0.5000
Cu  0.3333  0.6667  0.7505